# SnMoP3 | the Alexandria database | SCAN | PBEsol geometry
data_SnMoP3
_chemical_formula_sum 'Sn1 Mo1 P3'
_symmetry_space_group_name_H-M 'P m -3 m'
_symmetry_Int_Tables_number 221
_symmetry_space_group_name_Hall '-P 4 2 3'
_cell_length_a 4.6820
_cell_length_b 4.6820
_cell_length_c 4.6820
_cell_angle_alpha 90.00
_cell_angle_beta 90.00
_cell_angle_gamma 90.00
loop_
_atom_site_label
_atom_site_type_symbol
_atom_site_fract_x
_atom_site_fract_y
_atom_site_fract_z
Sn1 Sn 0.0000 0.0000 0.0000
Mo1 Mo 0.5000 0.5000 0.5000
P1 P 0.0000 0.5000 0.5000
# total DFT energy (no corrections): -19.869 eV/atom
# size of the total moment: 0.0 μB/cell
# formation energy from the elements: 0.53 eV/atom



# SrMo4P | the Alexandria database | SCAN | PBEsol geometry
data_SrMo4P
_chemical_formula_sum 'Sr4 Mo16 P4'
_symmetry_space_group_name_H-M 'F -4 3 m'
_symmetry_Int_Tables_number 216
_symmetry_space_group_name_Hall 'F -4 2 3'
_cell_length_a 7.5415
_cell_length_b 7.5415
_cell_length_c 7.5415
_cell_angle_alpha 90.00
_cell_angle_beta 90.00
_cell_angle_gamma 90.00
loop_
_atom_site_label
_atom_site_type_symbol
_atom_site_fract_x
_atom_site_fract_y
_atom_site_fract_z
Sr1 Sr 0.0000 0.0000 0.0000
Mo1 Mo 0.1224 0.1224 0.6224
P1 P 0.2500 0.2500 0.2500
# total DFT energy (no corrections): -27.826 eV/atom
# size of the total moment: 0.0 μB/cell
# formation energy from the elements: 0.88 eV/atom



# SrMoP2 | the Alexandria database | SCAN | PBEsol geometry
data_SrMoP2
_chemical_formula_sum 'Sr2 Mo2 P4'
_symmetry_space_group_name_H-M 'C 1 2/m 1'
_symmetry_Int_Tables_number 12
_symmetry_space_group_name_Hall '-C 2y'
_cell_length_a 6.3409
_cell_length_b 7.1714
_cell_length_c 3.2730
_cell_angle_alpha 90.00
_cell_angle_beta 104.73
_cell_angle_gamma 90.00
loop_
_atom_site_label
_atom_site_type_symbol
_atom_site_fract_x
_atom_site_fract_y
_atom_site_fract_z
Sr1 Sr 0.0000 0.0000 0.0000
Mo1 Mo 0.0000 0.5000 0.0000
P1 P 0.2500 0.2500 0.5000
# total DFT energy (no corrections): -19.254 eV/atom
# size of the total moment: 0.0 μB/cell
# energy relative to the lowest polymorph listed for this composition: 730 meV per atom
# formation energy from the elements: 0.24 eV/atom



# SrMoP2 | the Alexandria database | SCAN | PBEsol geometry
data_SrMoP2
_chemical_formula_sum 'Sr2 Mo2 P4'
_symmetry_space_group_name_H-M 'I m m 2'
_symmetry_Int_Tables_number 44
_symmetry_space_group_name_Hall 'I 2 -2'
_cell_length_a 3.2397
_cell_length_b 3.4549
_cell_length_c 13.7722
_cell_angle_alpha 90.00
_cell_angle_beta 90.00
_cell_angle_gamma 90.00
loop_
_atom_site_label
_atom_site_type_symbol
_atom_site_fract_x
_atom_site_fract_y
_atom_site_fract_z
Sr1 Sr 0.0000 0.0000 0.0000
Mo1 Mo 0.0000 0.5000 0.2528
P1 P 0.0000 0.0000 0.6273
P2 P 0.0000 0.5000 0.8199
# total DFT energy (no corrections): -19.983 eV/atom
# size of the total moment: 0.0 μB/cell
# energy relative to the lowest polymorph listed for this composition: 0 meV per atom
# formation energy from the elements: -0.49 eV/atom



# SrYMoP2 | the Alexandria database | SCAN | PBEsol geometry
data_SrYMoP2
_chemical_formula_sum 'Sr1 Y1 Mo1 P2'
_symmetry_space_group_name_H-M 'P 4/m m m'
_symmetry_Int_Tables_number 123
_symmetry_space_group_name_Hall '-P 4 2'
_cell_length_a 4.7644
_cell_length_b 4.7644
_cell_length_c 5.1574
_cell_angle_alpha 90.00
_cell_angle_beta 90.00
_cell_angle_gamma 90.00
loop_
_atom_site_label
_atom_site_type_symbol
_atom_site_fract_x
_atom_site_fract_y
_atom_site_fract_z
Sr1 Sr 0.0000 0.0000 0.0000
Y1 Y 0.5000 0.5000 0.0000
Mo1 Mo 0.0000 0.0000 0.5000
P1 P 0.0000 0.5000 0.5000
# total DFT energy (no corrections): -20.819 eV/atom
# size of the total moment: 0.8 μB/cell
# formation energy from the elements: 0.34 eV/atom



# TaMo2P | the Alexandria database | SCAN | PBEsol geometry
data_TaMo2P
_chemical_formula_sum 'Ta2 Mo4 P2'
_symmetry_space_group_name_H-M 'I -4 m 2'
_symmetry_Int_Tables_number 119
_symmetry_space_group_name_Hall 'I -4 -2'
_cell_length_a 3.6488
_cell_length_b 3.6488
_cell_length_c 8.9113
_cell_angle_alpha 90.00
_cell_angle_beta 90.00
_cell_angle_gamma 90.00
loop_
_atom_site_label
_atom_site_type_symbol
_atom_site_fract_x
_atom_site_fract_y
_atom_site_fract_z
Ta1 Ta 0.0000 0.0000 0.0000
Mo1 Mo 0.0000 0.0000 0.5000
Mo2 Mo 0.0000 0.5000 0.2500
P1 P 0.0000 0.5000 0.7500
# total DFT energy (no corrections): -36.713 eV/atom
# size of the total moment: 0.0 μB/cell
# formation energy from the elements: -0.02 eV/atom



# Ta2MoP | the Alexandria database | SCAN | PBEsol geometry
data_Ta2MoP
_chemical_formula_sum 'Ta4 Mo2 P2'
_symmetry_space_group_name_H-M 'I m m 2'
_symmetry_Int_Tables_number 44
_symmetry_space_group_name_Hall 'I 2 -2'
_cell_length_a 3.2602
_cell_length_b 4.4601
_cell_length_c 8.5242
_cell_angle_alpha 90.00
_cell_angle_beta 90.00
_cell_angle_gamma 90.00
loop_
_atom_site_label
_atom_site_type_symbol
_atom_site_fract_x
_atom_site_fract_y
_atom_site_fract_z
Ta1 Ta 0.0000 0.0000 0.0000
Ta2 Ta 0.0000 0.5000 0.2362
Mo1 Mo 0.0000 0.5000 0.7518
P1 P 0.0000 0.0000 0.4869
# total DFT energy (no corrections): -44.776 eV/atom
# size of the total moment: 0.0 μB/cell
# formation energy from the elements: -0.16 eV/atom



# Ta2MoP | the Alexandria database | SCAN | PBEsol geometry
data_Ta2MoP
_chemical_formula_sum 'Ta6 Mo3 P3'
_symmetry_space_group_name_H-M 'R -3 m'
_symmetry_Int_Tables_number 166
_symmetry_space_group_name_Hall '-R 3 2"'
_cell_length_a 3.2204
_cell_length_b 3.2204
_cell_length_c 21.9722
_cell_angle_alpha 90.00
_cell_angle_beta 90.00
_cell_angle_gamma 120.00
loop_
_atom_site_label
_atom_site_type_symbol
_atom_site_fract_x
_atom_site_fract_y
_atom_site_fract_z
Ta1 Ta 0.0000 0.0000 0.2426
Mo1 Mo 0.0000 0.0000 0.0000
P1 P 0.0000 0.0000 0.5000
# total DFT energy (no corrections): -44.770 eV/atom
# size of the total moment: 0.0 μB/cell
# formation energy from the elements: -0.16 eV/atom



# Ta2MoP | the Alexandria database | SCAN | PBEsol geometry
data_Ta2MoP
_chemical_formula_sum 'Ta4 Mo2 P2'
_symmetry_space_group_name_H-M 'C m m m'
_symmetry_Int_Tables_number 65
_symmetry_space_group_name_Hall '-C 2 2'
_cell_length_a 3.3231
_cell_length_b 4.7007
_cell_length_c 8.0592
_cell_angle_alpha 90.00
_cell_angle_beta 90.00
_cell_angle_gamma 90.00
loop_
_atom_site_label
_atom_site_type_symbol
_atom_site_fract_x
_atom_site_fract_y
_atom_site_fract_z
Ta1 Ta 0.0000 0.0000 0.2306
Mo1 Mo 0.0000 0.5000 0.5000
P1 P 0.0000 0.5000 0.0000
# total DFT energy (no corrections): -44.877 eV/atom
# size of the total moment: 0.0 μB/cell
# formation energy from the elements: -0.26 eV/atom



# Ta2MoP | the Alexandria database | SCAN | PBEsol geometry
data_Ta2MoP
_chemical_formula_sum 'Ta4 Mo2 P2'
_symmetry_space_group_name_H-M 'I m m m'
_symmetry_Int_Tables_number 71
_symmetry_space_group_name_Hall '-I 2 2'
_cell_length_a 3.3246
_cell_length_b 4.5333
_cell_length_c 8.2608
_cell_angle_alpha 90.00
_cell_angle_beta 90.00
_cell_angle_gamma 90.00
loop_
_atom_site_label
_atom_site_type_symbol
_atom_site_fract_x
_atom_site_fract_y
_atom_site_fract_z
Ta1 Ta 0.0000 0.0000 0.2441
Mo1 Mo 0.0000 0.5000 0.0000
P1 P 0.0000 0.5000 0.5000
# total DFT energy (no corrections): -44.775 eV/atom
# size of the total moment: 0.0 μB/cell
# formation energy from the elements: -0.16 eV/atom



# Ta2MoP | the Alexandria database | SCAN | PBEsol geometry
data_Ta2MoP
_chemical_formula_sum 'Ta4 Mo2 P2'
_symmetry_space_group_name_H-M 'A m m 2'
_symmetry_Int_Tables_number 38
_symmetry_space_group_name_Hall 'A 2 -2'
_cell_length_a 4.1197
_cell_length_b 3.2406
_cell_length_c 9.5050
_cell_angle_alpha 90.00
_cell_angle_beta 90.00
_cell_angle_gamma 90.00
loop_
_atom_site_label
_atom_site_type_symbol
_atom_site_fract_x
_atom_site_fract_y
_atom_site_fract_z
Ta1 Ta 0.0000 0.0000 0.0000
Ta2 Ta 0.5000 0.0000 0.2879
Mo1 Mo 0.0000 0.0000 0.7296
P1 P 0.5000 0.0000 0.5615
# total DFT energy (no corrections): -44.842 eV/atom
# size of the total moment: 0.0 μB/cell
# formation energy from the elements: -0.23 eV/atom



# Ta2MoP | the Alexandria database | SCAN | PBEsol geometry
data_Ta2MoP
_chemical_formula_sum 'Ta4 Mo2 P2'
_symmetry_space_group_name_H-M 'I -4 m 2'
_symmetry_Int_Tables_number 119
_symmetry_space_group_name_Hall 'I -4 -2'
_cell_length_a 3.6807
_cell_length_b 3.6807
_cell_length_c 9.1591
_cell_angle_alpha 90.00
_cell_angle_beta 90.00
_cell_angle_gamma 90.00
loop_
_atom_site_label
_atom_site_type_symbol
_atom_site_fract_x
_atom_site_fract_y
_atom_site_fract_z
Ta1 Ta 0.0000 0.0000 0.0000
Ta2 Ta 0.0000 0.5000 0.2500
Mo1 Mo 0.0000 0.0000 0.5000
P1 P 0.0000 0.5000 0.7500
# total DFT energy (no corrections): -44.730 eV/atom
# size of the total moment: 0.0 μB/cell
# formation energy from the elements: -0.12 eV/atom



# TcMo4P | the Alexandria database | SCAN | PBEsol geometry
data_TcMo4P
_chemical_formula_sum 'Tc4 Mo16 P4'
_symmetry_space_group_name_H-M 'F -4 3 m'
_symmetry_Int_Tables_number 216
_symmetry_space_group_name_Hall 'F -4 2 3'
_cell_length_a 7.1740
_cell_length_b 7.1740
_cell_length_c 7.1740
_cell_angle_alpha 90.00
_cell_angle_beta 90.00
_cell_angle_gamma 90.00
loop_
_atom_site_label
_atom_site_type_symbol
_atom_site_fract_x
_atom_site_fract_y
_atom_site_fract_z
Tc1 Tc 0.0000 0.0000 0.0000
Mo1 Mo 0.1237 0.1237 0.3763
P1 P 0.2500 0.2500 0.7500
# total DFT energy (no corrections): -30.191 eV/atom
# size of the total moment: 0.0 μB/cell
# formation energy from the elements: 0.64 eV/atom



# TeMo2P | the Alexandria database | SCAN | PBEsol geometry
data_TeMo2P
_chemical_formula_sum 'Te4 Mo8 P4'
_symmetry_space_group_name_H-M 'F -4 3 m'
_symmetry_Int_Tables_number 216
_symmetry_space_group_name_Hall 'F -4 2 3'
_cell_length_a 6.4093
_cell_length_b 6.4093
_cell_length_c 6.4093
_cell_angle_alpha 90.00
_cell_angle_beta 90.00
_cell_angle_gamma 90.00
loop_
_atom_site_label
_atom_site_type_symbol
_atom_site_fract_x
_atom_site_fract_y
_atom_site_fract_z
Te1 Te 0.0000 0.0000 0.0000
Mo1 Mo 0.0000 0.0000 0.5000
Mo2 Mo 0.2500 0.2500 0.2500
P1 P 0.2500 0.2500 0.7500
# formation energy without anion corrections: 0.7611 eV/atom
# total DFT energy (no corrections): -28.594 eV/atom
# size of the total moment: 0.0 μB/cell
# energy relative to the lowest polymorph listed for this composition: 570 meV per atom



# TeMoP2 | the Alexandria database | SCAN | PBEsol geometry
data_TeMoP2
_chemical_formula_sum 'Te4 Mo4 P8'
_symmetry_space_group_name_H-M 'I -4 2 d'
_symmetry_Int_Tables_number 122
_symmetry_space_group_name_Hall 'I -4 2bw'
_cell_length_a 5.9019
_cell_length_b 5.9019
_cell_length_c 10.7772
_cell_angle_alpha 90.00
_cell_angle_beta 90.00
_cell_angle_gamma 90.00
loop_
_atom_site_label
_atom_site_type_symbol
_atom_site_fract_x
_atom_site_fract_y
_atom_site_fract_z
Te1 Te 0.0000 0.0000 0.0000
Mo1 Mo 0.0000 0.0000 0.5000
P1 P 0.1891 0.7500 0.6250
# formation energy without anion corrections: 0.3659 eV/atom
# total DFT energy (no corrections): -22.868 eV/atom
# size of the total moment: 0.0 μB/cell



# TeMo2P | the Alexandria database | SCAN | PBEsol geometry
data_TeMo2P
_chemical_formula_sum 'Te3 Mo6 P3'
_symmetry_space_group_name_H-M 'R 3 m'
_symmetry_Int_Tables_number 160
_symmetry_space_group_name_Hall 'R 3 -2"'
_cell_length_a 3.1939
_cell_length_b 3.1939
_cell_length_c 24.0110
_cell_angle_alpha 90.00
_cell_angle_beta 90.00
_cell_angle_gamma 120.00
loop_
_atom_site_label
_atom_site_type_symbol
_atom_site_fract_x
_atom_site_fract_y
_atom_site_fract_z
Te1 Te 0.0000 0.0000 0.0000
Mo1 Mo 0.0000 0.0000 0.5023
Mo2 Mo 0.0000 0.0000 0.7472
P1 P 0.0000 0.0000 0.2319
# formation energy without anion corrections: 0.1912 eV/atom
# total DFT energy (no corrections): -29.164 eV/atom
# size of the total moment: 0.0 μB/cell
# energy relative to the lowest polymorph listed for this composition: 0 meV per atom



# TlMo2P | the Alexandria database | SCAN | PBEsol geometry
data_TlMo2P
_chemical_formula_sum 'Tl3 Mo6 P3'
_symmetry_space_group_name_H-M 'R 3 m'
_symmetry_Int_Tables_number 160
_symmetry_space_group_name_Hall 'R 3 -2"'
_cell_length_a 3.4062
_cell_length_b 3.4062
_cell_length_c 20.8851
_cell_angle_alpha 90.00
_cell_angle_beta 90.00
_cell_angle_gamma 120.00
loop_
_atom_site_label
_atom_site_type_symbol
_atom_site_fract_x
_atom_site_fract_y
_atom_site_fract_z
Tl1 Tl 0.0000 0.0000 0.0000
Mo1 Mo 0.0000 0.0000 0.2243
Mo2 Mo 0.0000 0.0000 0.4408
P1 P 0.0000 0.0000 0.8324
# total DFT energy (no corrections): -37.989 eV/atom
# size of the total moment: 0.0 μB/cell
# energy relative to the lowest polymorph listed for this composition: 0 meV per atom
# formation energy from the elements: 0.14 eV/atom



# Tl2MoP | the Alexandria database | SCAN | PBEsol geometry
data_Tl2MoP
_chemical_formula_sum 'Tl2 Mo1 P1'
_symmetry_space_group_name_H-M 'P 1 2/m 1'
_symmetry_Int_Tables_number 10
_symmetry_space_group_name_Hall '-P 2y'
_cell_length_a 4.8569
_cell_length_b 3.3988
_cell_length_c 4.8839
_cell_angle_alpha 90.00
_cell_angle_beta 106.41
_cell_angle_gamma 90.00
loop_
_atom_site_label
_atom_site_type_symbol
_atom_site_fract_x
_atom_site_fract_y
_atom_site_fract_z
Tl1 Tl 0.0000 0.0000 0.0000
Tl2 Tl 0.5000 0.5000 0.0000
Mo1 Mo 0.0000 0.5000 0.5000
P1 P 0.5000 0.0000 0.5000
# total DFT energy (no corrections): -46.635 eV/atom
# size of the total moment: 1.7 μB/cell
# energy relative to the lowest polymorph listed for this composition: 0 meV per atom
# formation energy from the elements: 0.87 eV/atom



# TlMo2P | the Alexandria database | SCAN | PBEsol geometry
data_TlMo2P
_chemical_formula_sum 'Tl2 Mo4 P2'
_symmetry_space_group_name_H-M 'I -4 m 2'
_symmetry_Int_Tables_number 119
_symmetry_space_group_name_Hall 'I -4 -2'
_cell_length_a 3.8974
_cell_length_b 3.8974
_cell_length_c 8.5066
_cell_angle_alpha 90.00
_cell_angle_beta 90.00
_cell_angle_gamma 90.00
loop_
_atom_site_label
_atom_site_type_symbol
_atom_site_fract_x
_atom_site_fract_y
_atom_site_fract_z
Tl1 Tl 0.0000 0.0000 0.0000
Mo1 Mo 0.0000 0.0000 0.5000
Mo2 Mo 0.0000 0.5000 0.2500
P1 P 0.0000 0.5000 0.7500
# total DFT energy (no corrections): -37.366 eV/atom
# size of the total moment: 0.0 μB/cell
# energy relative to the lowest polymorph listed for this composition: 623 meV per atom
# formation energy from the elements: 0.77 eV/atom



# Tl2MoP | the Alexandria database | SCAN | PBEsol geometry
data_Tl2MoP
_chemical_formula_sum 'Tl4 Mo2 P2'
_symmetry_space_group_name_H-M 'I 4/m m m'
_symmetry_Int_Tables_number 139
_symmetry_space_group_name_Hall '-I 4 2'
_cell_length_a 4.0196
_cell_length_b 4.0196
_cell_length_c 9.6324
_cell_angle_alpha 90.00
_cell_angle_beta 90.00
_cell_angle_gamma 90.00
loop_
_atom_site_label
_atom_site_type_symbol
_atom_site_fract_x
_atom_site_fract_y
_atom_site_fract_z
Tl1 Tl 0.0000 0.5000 0.2500
Mo1 Mo 0.0000 0.0000 0.0000
P1 P 0.0000 0.0000 0.5000
# total DFT energy (no corrections): -46.602 eV/atom
# size of the total moment: 5.3 μB/cell
# energy relative to the lowest polymorph listed for this composition: 33 meV per atom
# formation energy from the elements: 0.90 eV/atom